## BaTbEr2 (PBE)

Data for crystalline BaTbEr2 at its relaxed geometry.

abc: 3.5835 3.5835 38.3673
angles: 90.00 90.00 120.00
Space group R-3m (No. 166, hexagonal axes)
Unique sites:
Ba 0.0000 0.0000 0.0000 (multiplicity 3)
Tb 0.0000 0.0000 0.5000 (multiplicity 3)
Er 0.0000 0.0000 0.0938 (multiplicity 6)

Values from the calculation:
ΔH_f (0 K)	237	meV per atom
Fermi-level density of states	5.69	states/eV/f.u.